A plane-wave DFT calculation with PBE was carried out for crystalline CaAl2Zn at its relaxed geometry.

Output
calculated density: 3.33 g/cm³
E_form: -0.10 eV per atom
volume: 79.5 Å³/cell
calculated total energy: -11.2 eV/f.u.
total magnetization: 0.000 μB per formula unit
crystal system: cubic

Cell: 4.8262 4.8262 4.8262 Å, 60.00 60.00 60.00°
Atoms (fractional coordinates):
Zn  0.7500  0.7500  0.7500
Ca  0.5000  0.5000  0.5000
Al  0.2500  0.2500  0.2500
Al  0.0000  0.0000  0.0000

=====

A plane-wave DFT calculation with PBE was carried out for crystalline LaSbCl2 at its relaxed geometry.

Output
ΔE to the lowest computed polymorph: 0.1536 eV per atom
calculated density: 4.56 g/cm³
volume: 120.7 Å³/cell
calculated total energy: -17.9 eV/f.u.
total magnetization: 0.000 μB per formula unit
crystal system: tetragonal

Cell: 4.6307 4.6307 5.6304 Å, 90.00 90.00 90.00°
Atoms (fractional coordinates):
Cl  0.0000  0.0000  0.0373
Cl  0.5000  0.5000  0.2311
La  0.0000  0.0000  0.5460
Sb  0.5000  0.5000  0.6856